VASP calculation (PBE) on a relaxed RePtW2 crystal.

a = 2.7804 Å, b = 4.5605 Å, c = 4.9185 Å
α = 90.00°, β = 90.00°, γ = 90.00°
With the nearest neighbours (Å) after each atom.
Fractional positions:
Re 0.0000 0.0000 0.0000  2 Re 2.78, 8 W 2.78-2.85, 2 Pt 2.84
Pt 0.0000 0.5000 0.3456  2 Pt 2.78, 8 W 2.78-2.84, 2 Re 2.84
W 0.5000 0.0000 0.5056  4 W 2.78-2.82, 4 Pt 2.78, 4 Re 2.80-2.85
W 0.5000 0.5000 0.8416  4 W 2.78-2.82, 4 Re 2.78, 4 Pt 2.81-2.84

Summary:
**Energy**: -11.125 eV/atom
**Energy above the most stable polymorph in this dataset**: 69 meV/atom
**Formation enthalpy at 0 K**: -0.026 eV per atom
**Space-group type**: No. 25